Material: BaTeMo2O9
Method: DFT, GGA+U
State: optimized geometry

Cell and atoms, written as extended XYZ:
```
26
Lattice="5.6910 0.0000 0.0000 0.0000 7.5880 0.0000 -0.0608 0.0000 9.0080" Properties=species:S:1:pos:R:3 pbc="T T T"
Ba 1.2309 0.0000 3.9158
Ba 4.3993 3.7940 5.0921
Te 0.5735 5.5648 8.2605
Te 5.0567 1.7707 0.7475
Mo 1.5598 3.6195 2.4073
Mo 1.5602 2.2511 7.4286
Mo 4.0700 6.0451 1.5793
Mo 4.0704 7.4135 6.6007
O -0.0260 6.4538 6.2871
O 0.1451 3.8909 7.4648
O 0.2355 4.9527 1.1218
O 1.1662 2.0704 5.7056
O 1.2035 2.4021 0.5281
O 1.4687 4.7900 3.7313
O 2.6456 0.7315 7.7136
O 2.7016 2.4360 3.0604
O 2.7920 7.2512 1.5813
O 2.8382 3.4572 7.4267
O 2.9286 6.2300 5.9475
O 2.9847 4.5255 1.2943
O 4.1616 0.9960 5.2766
O 4.4640 5.8644 3.3023
O 4.4268 6.1961 8.4799
O 5.3947 1.1587 7.8861
O 5.4851 0.0969 1.5431
O 5.6562 2.6598 2.7209
```

Output
- Magnetic moment: 0.00 Bohr magnetons per cell
- Raw total energy: -6.6638 eV/atom
- Fermi-level density of states: 0.00 states/eV/cell